DFT (GGA-PBE) results for a relaxed CuAsSe4 crystal.

Cell and atoms, written as POSCAR:
```
CuAsSe4
1.0
-3.464 1.240 -3.642
4.928 -0.900 -5.075
-1.890 -7.014 -0.590
Se As Cu
8 2 2
Cartesian
-2.186 -5.792 -5.813 Se
-2.242 -6.145 -1.438 Se
0.359 -4.354 -4.332 Se
-0.784 -2.321 -4.976 Se
1.263 -4.319 -7.644 Se
-1.688 -2.356 -1.664 Se
1.816 -0.530 -7.870 Se
1.761 -0.884 -3.495 Se
3.009 -3.227 -4.021 As
0.030 -4.688 -1.644 As
-0.668 -0.229 -3.143 Cu
0.242 -6.446 -6.165 Cu
```

Output
E above lowest polymorph: 0 kJ/mol of formula units
VASP energy: -3.75 eV per atom
space group: No. 13
V: 269.1 Å³/cell